The following is a DFT calculation (PBE-GGA) of crystalline Pa2ZnGa at its relaxed geometry.

Lattice parameters (Å, degrees): 3.7895 3.7895 6.1087 90.00 90.00 90.00
With the nearest neighbours (Å) after each atom.
Atoms (fractional coordinates):
1 Pa 0.0000 0.0000 0.2433  2 Pa 2.97-3.14, 4 Ga 3.06, 4 Zn 3.10
2 Pa 0.0000 0.0000 0.7567  2 Pa 2.97-3.14, 4 Ga 3.06, 4 Zn 3.10
3 Ga 0.5000 0.5000 0.0000  2 Zn 3.05, 8 Pa 3.06
4 Zn 0.5000 0.5000 0.5000  2 Ga 3.05, 8 Pa 3.10

Magnetization = 0.47 μB per cell
Uncorrected energy = -5.841 eV per atom
ΔE_f = -0.018 eV per atom


The following is a DFT calculation (PBE-GGA) of crystalline PaZn10Ga2 at its relaxed geometry.

Lattice parameters (Å, degrees): 5.4481 6.7407 6.8764 80.79 66.66 66.16
With the nearest neighbours (Å) after each atom.
Atoms (fractional coordinates):
1 Zn 0.2861 0.2111 0.2167  6 Zn 2.60-2.84, 2 Ga 2.63
2 Zn 0.6450 0.3510 0.3589  5 Zn 2.56-2.84, 2 Ga 2.80
3 Zn 0.3550 0.6490 0.6411  5 Zn 2.56-2.84, 2 Ga 2.80
4 Zn 0.0000 0.0000 0.5000  10 Zn 2.60-2.72
5 Zn 0.0039 0.3510 0.6411  5 Zn 2.56-2.84, 2 Ga 2.80
6 Zn 0.9961 0.6490 0.3589  5 Zn 2.56-2.84, 2 Ga 2.80
7 Zn 0.5028 0.2111 0.7833  6 Zn 2.60-2.84, 2 Ga 2.63
8 Zn 0.4972 0.7889 0.2167  6 Zn 2.60-2.84, 2 Ga 2.63
9 Zn 0.5000 0.0000 0.5000  10 Zn 2.60-2.72
10 Zn 0.7139 0.7889 0.7833  6 Zn 2.60-2.84, 2 Ga 2.63
11 Ga 0.5000 0.5000 0.0000  8 Zn 2.63-2.80, 2 Ga 2.72
12 Ga 0.0000 0.5000 0.0000  8 Zn 2.63-2.80, 2 Ga 2.72
13 Pa 0.0000 0.0000 0.0000  16 Zn 3.13-3.44, 4 Ga 3.37

Magnetization = 0.37 μB per cell
Uncorrected energy = -2.233 eV per atom
ΔE_f = -0.057 eV per atom


The following is a DFT calculation (PBE-GGA) of crystalline Pa3Zn7Ga2 at its relaxed geometry.

Lattice parameters (Å, degrees): 5.4218 5.4218 9.2201 72.90 72.90 60.00
With the nearest neighbours (Å) after each atom.
Atoms (fractional coordinates):
1 Zn 0.9236 0.4142 0.2481  2 Ga 2.63-2.70, 5 Zn 2.66-2.76
2 Zn 0.5000 0.5000 0.5000  6 Zn 2.70
3 Zn 0.0764 0.5858 0.7519  2 Ga 2.63-2.70, 5 Zn 2.66-2.76
4 Zn 0.5858 0.0764 0.7519  2 Ga 2.63-2.70, 5 Zn 2.66-2.76
5 Zn 0.4142 0.9236 0.2481  2 Ga 2.63-2.70, 5 Zn 2.66-2.76
6 Zn 0.4142 0.4142 0.2481  2 Ga 2.63-2.70, 5 Zn 2.66-2.76
7 Zn 0.5858 0.5858 0.7519  2 Ga 2.63-2.70, 5 Zn 2.66-2.76
8 Pa 0.1459 0.1459 0.5623  12 Zn 3.13-3.18, 3 Pa 3.31
9 Pa 0.8541 0.8541 0.4377  12 Zn 3.13-3.18, 3 Pa 3.31
10 Pa 0.0000 0.0000 0.0000  6 Ga 3.13, 12 Zn 3.46
11 Ga 0.3358 0.3358 0.9925  6 Zn 2.63-2.70
12 Ga 0.6642 0.6642 0.0075  6 Zn 2.63-2.70

Magnetization = 3.14 μB per cell
Uncorrected energy = -3.691 eV per atom
ΔE_f = -0.070 eV per atom


The following is a DFT calculation (PBE-GGA) of crystalline Pa3Zn4Ga2 at its relaxed geometry.

Lattice parameters (Å, degrees): 4.5671 6.6770 6.6770 120.00 90.00 90.00
With the nearest neighbours (Å) after each atom.
Atoms (fractional coordinates):
1 Zn 0.0000 0.2324 0.2324  2 Ga 2.63, 4 Zn 2.69-2.76
2 Zn 0.0000 0.7676 0.0000  2 Ga 2.63, 4 Zn 2.69-2.76
3 Zn 0.0000 0.0000 0.7676  2 Ga 2.63, 4 Zn 2.69-2.76
4 Zn 0.5000 0.0000 0.0000  6 Zn 2.76, 3 Pa 3.01
5 Ga 0.0000 0.3333 0.6667  3 Zn 2.63
6 Ga 0.0000 0.6667 0.3333  3 Zn 2.63
7 Pa 0.5000 0.5485 0.5485  4 Ga 3.01, 3 Zn 3.01-3.11
8 Pa 0.5000 0.4515 0.0000  4 Ga 3.01, 3 Zn 3.01-3.11
9 Pa 0.5000 0.0000 0.4515  4 Ga 3.01, 3 Zn 3.01-3.11

Magnetization = 0.01 μB per cell
Uncorrected energy = -4.549 eV per atom
ΔE_f = -0.145 eV per atom


The following is a DFT calculation (PBE-GGA) of crystalline PaZnGa at its relaxed geometry.

Lattice parameters (Å, degrees): 4.5366 4.5366 4.5366 60.00 60.00 60.00
With the nearest neighbours (Å) after each atom.
Atoms (fractional coordinates):
1 Zn 0.2500 0.2500 0.2500  4 Ga 2.78, 4 Pa 2.78
2 Ga 0.0000 0.0000 0.0000  4 Zn 2.78
3 Pa 0.5000 0.5000 0.5000  4 Zn 2.78

Magnetization = 0.00 μB per cell
Uncorrected energy = -4.510 eV per atom
ΔE_f = 0.089 eV per atom


The following is a DFT calculation (PBE-GGA) of crystalline Pa3ZnGa5 at its relaxed geometry.

Lattice parameters (Å, degrees): 5.9252 8.5390 8.5390 120.00 90.00 90.00
With the nearest neighbours (Å) after each atom.
Atoms (fractional coordinates):
1 Pa 0.2500 0.0000 0.6229  9 Ga 2.90-3.07
2 Pa 0.7500 0.3771 0.0000  9 Ga 2.90-3.07
3 Pa 0.7500 0.0000 0.3771  9 Ga 2.90-3.07
4 Pa 0.7500 0.6229 0.6229  9 Ga 2.90-3.07
5 Pa 0.2500 0.3771 0.3771  9 Ga 2.90-3.07
6 Pa 0.2500 0.6229 0.0000  9 Ga 2.90-3.07
7 Ga 0.7500 0.2835 0.2835  2 Zn 2.84, 5 Pa 2.90-3.07
8 Ga 0.7500 0.7165 0.0000  2 Zn 2.84, 5 Pa 2.90-3.07
9 Ga 0.7500 0.0000 0.7165  2 Zn 2.84, 5 Pa 2.90-3.07
10 Ga 0.2500 0.7165 0.7165  2 Zn 2.84, 5 Pa 2.90-3.07
11 Ga 0.5000 0.6667 0.3333  2 Ga 2.96, 6 Pa 3.06
12 Ga 0.0000 0.6667 0.3333  2 Ga 2.96, 6 Pa 3.06
13 Ga 0.2500 0.2835 0.0000  2 Zn 2.84, 5 Pa 2.90-3.07
14 Ga 0.2500 0.0000 0.2835  2 Zn 2.84, 5 Pa 2.90-3.07
15 Ga 0.0000 0.3333 0.6667  2 Ga 2.96, 6 Pa 3.06
16 Ga 0.5000 0.3333 0.6667  2 Ga 2.96, 6 Pa 3.06
17 Zn 0.0000 0.0000 0.0000  6 Ga 2.84, 2 Zn 2.96
18 Zn 0.5000 0.0000 0.0000  6 Ga 2.84, 2 Zn 2.96

Magnetization = 0.00 μB per cell
Uncorrected energy = -5.175 eV per atom
ΔE_f = -0.186 eV per atom


The following is a DFT calculation (PBE-GGA) of crystalline Pa3Zn9Ga2 at its relaxed geometry.

Lattice parameters (Å, degrees): 4.3521 8.1223 8.1223 69.27 74.46 74.46
With the nearest neighbours (Å) after each atom.
Atoms (fractional coordinates):
1 Zn 0.1461 0.5772 0.1305  4 Zn 2.56-2.77, 2 Ga 2.86
2 Zn 0.6578 0.9747 0.7098  4 Zn 2.45-2.62, 1 Ga 2.52
3 Zn 0.3422 0.0253 0.2902  4 Zn 2.45-2.62, 1 Ga 2.52
4 Zn 0.6578 0.7098 0.9747  4 Zn 2.45-2.62, 1 Ga 2.52
5 Zn 0.3422 0.2902 0.0253  4 Zn 2.45-2.62, 1 Ga 2.52
6 Zn 0.1461 0.1305 0.5772  4 Zn 2.56-2.77, 2 Ga 2.86
7 Zn 0.0000 0.5000 0.5000  4 Zn 2.77, 4 Ga 2.86
8 Zn 0.8539 0.8695 0.4228  4 Zn 2.56-2.77, 2 Ga 2.86
9 Zn 0.8539 0.4228 0.8695  4 Zn 2.56-2.77, 2 Ga 2.86
10 Ga 0.5000 0.7011 0.2989  2 Zn 2.52
11 Ga 0.5000 0.2989 0.7011  2 Zn 2.52
12 Pa 0.6969 0.3031 0.3031  14 Zn 3.07-3.43, 2 Ga 3.10
13 Pa 0.0000 0.0000 0.0000  12 Zn 3.15-3.19, 4 Ga 3.51
14 Pa 0.3031 0.6969 0.6969  14 Zn 3.07-3.43, 2 Ga 3.10

Magnetization = 0.57 μB per cell
Uncorrected energy = -3.406 eV per atom
ΔE_f = -0.119 eV per atom


The following is a DFT calculation (PBE-GGA) of crystalline PaZnGa at its relaxed geometry.

Lattice parameters (Å, degrees): 2.8498 2.8498 8.2140 99.99 99.99 90.00
With the nearest neighbours (Å) after each atom.
Atoms (fractional coordinates):
1 Pa 0.1305 0.1305 0.2610  4 Pa 2.85, 1 Zn 3.03, 4 Ga 3.11
2 Zn 0.9402 0.9402 0.8803  1 Ga 2.56, 4 Zn 2.85
3 Ga 0.7793 0.7793 0.5586  1 Zn 2.56, 4 Ga 2.85

Magnetization = 0.00 μB per cell
Uncorrected energy = -4.364 eV per atom
ΔE_f = 0.234 eV per atom


The following is a DFT calculation (PBE-GGA) of crystalline Pa2Zn16Ga at its relaxed geometry.

Lattice parameters (Å, degrees): 6.7973 6.7973 6.7973 83.17 83.17 83.17
With the nearest neighbours (Å) after each atom.
Atoms (fractional coordinates):
1 Zn 0.0985 0.0985 0.0985  1 Ga 2.63, 6 Zn 2.71-2.89
2 Zn 0.6461 0.1649 0.6461  8 Zn 2.54-2.76
3 Zn 0.3023 0.6986 0.0000  8 Zn 2.58-2.76
4 Zn 0.0000 0.3023 0.6986  8 Zn 2.58-2.76
5 Zn 0.8371 0.3526 0.3526  8 Zn 2.54-2.75
6 Zn 0.3526 0.3526 0.8371  8 Zn 2.54-2.75
7 Zn 0.3526 0.8371 0.3526  8 Zn 2.54-2.75
8 Zn 0.6986 0.3023 0.0000  8 Zn 2.58-2.76
9 Zn 0.1649 0.6461 0.6461  8 Zn 2.54-2.76
10 Zn 0.0037 0.0037 0.4943  9 Zn 2.58-2.71, 1 Ga 2.78
11 Zn 0.6986 0.0000 0.3023  8 Zn 2.58-2.76
12 Zn 0.3023 0.0000 0.6986  8 Zn 2.58-2.76
13 Zn 0.0000 0.6986 0.3023  8 Zn 2.58-2.76
14 Zn 0.0037 0.4943 0.0037  9 Zn 2.58-2.71, 1 Ga 2.78
15 Zn 0.4943 0.0037 0.0037  9 Zn 2.58-2.71, 1 Ga 2.78
16 Zn 0.6461 0.6461 0.1649  8 Zn 2.54-2.76
17 Pa 0.3368 0.3368 0.3368  19 Zn 3.12-3.43
18 Pa 0.6638 0.6638 0.6638  1 Ga 3.06, 15 Zn 3.16-3.42
19 Ga 0.8977 0.8977 0.8977  7 Zn 2.63-2.89

Magnetization = 0.03 μB per cell
Uncorrected energy = -2.349 eV per atom
ΔE_f = -0.117 eV per atom


The following is a DFT calculation (PBE-GGA) of crystalline PaZn2Ga at its relaxed geometry.

Lattice parameters (Å, degrees): 3.3028 3.3028 6.9187 90.00 90.00 90.00
With the nearest neighbours (Å) after each atom.
Atoms (fractional coordinates):
1 Pa 0.5000 0.5000 0.5000  8 Zn 3.08, 4 Pa 3.30
2 Zn 0.0000 0.0000 0.7912  4 Ga 2.75, 1 Zn 2.89
3 Zn 0.0000 0.0000 0.2088  4 Ga 2.75, 1 Zn 2.89
4 Ga 0.5000 0.5000 0.0000  8 Zn 2.75

Magnetization = 0.68 μB per cell
Uncorrected energy = -3.764 eV per atom
ΔE_f = 0.003 eV per atom


The following is a DFT calculation (PBE-GGA) of crystalline PaZn2Ga at its relaxed geometry.

Lattice parameters (Å, degrees): 4.4843 5.5946 6.5379 90.00 90.00 113.63
With the nearest neighbours (Å) after each atom.
Atoms (fractional coordinates):
1 Zn 0.0453 0.0906 0.3074  1 Ga 2.49, 4 Zn 2.52-2.71
2 Zn 0.0453 0.0906 0.6926  1 Ga 2.49, 4 Zn 2.52-2.71
3 Zn 0.8679 0.7359 0.0000  2 Zn 2.71, 4 Ga 2.75, 1 Pa 3.03
4 Zn 0.4741 0.9482 0.5000  4 Zn 2.67, 2 Ga 2.83
5 Pa 0.7690 0.5380 0.5000  4 Ga 2.99, 5 Zn 3.02-3.10
6 Pa 0.5724 0.1448 0.0000  7 Zn 3.02-3.07, 6 Ga 3.29-3.33
7 Ga 0.2773 0.5547 0.1966  3 Zn 2.49-2.75, 1 Ga 2.57
8 Ga 0.2773 0.5547 0.8034  3 Zn 2.49-2.75, 1 Ga 2.57

Magnetization = 0.76 μB per cell
Uncorrected energy = -3.904 eV per atom
ΔE_f = -0.136 eV per atom


The following is a DFT calculation (PBE-GGA) of crystalline PaZnGa5 at its relaxed geometry.

Lattice parameters (Å, degrees): 4.4413 4.4413 6.8704 90.00 90.00 90.00
With the nearest neighbours (Å) after each atom.
Atoms (fractional coordinates):
1 Ga 0.5000 0.5000 0.0000  8 Ga 3.01, 4 Pa 3.14
2 Ga 0.5000 0.0000 0.7052  2 Zn 2.63, 1 Ga 2.82
3 Ga 0.0000 0.5000 0.7052  2 Zn 2.63, 1 Ga 2.82
4 Ga 0.5000 0.0000 0.2948  2 Zn 2.63, 1 Ga 2.82
5 Ga 0.0000 0.5000 0.2948  2 Zn 2.63, 1 Ga 2.82
6 Pa 0.0000 0.0000 0.0000  12 Ga 3.01-3.14
7 Zn 0.0000 0.0000 0.5000  8 Ga 2.63

Magnetization = 0.00 μB per cell
Uncorrected energy = -3.891 eV per atom
ΔE_f = -0.190 eV per atom